Y2TaZn at its PBEsol-relaxed geometry, computed with meta-GGA SCAN.

The calculation puts the total magnetization at 0.0 μB/f.u. Its total energy is -2.48010 Ry per atom.

It has space group P4/mmm (No. 123), with a = 5.287 Å, b = 5.287 Å, c = 3.179 Å, α = 90.00°, β = 90.00° and γ = 90.00°. The distinct sites, in fractional coordinates, are Y at (0.000, 0.500, 0.000), Ta at (0.000, 0.000, 0.500) and Zn at (0.500, 0.500, 0.500).



YZrTa2 at its PBEsol-relaxed geometry, computed with meta-GGA SCAN.

The calculation puts the total magnetization at 0.0 μB/f.u. Its total energy is -3.49341 Ry per atom.

It has space group Pmmm (No. 47), with a = 2.915 Å, b = 4.815 Å, c = 5.962 Å, α = 90.00°, β = 90.00° and γ = 90.00°. The distinct sites, in fractional coordinates, are Y at (0.000, 0.000, 0.000), Zr at (0.000, 0.000, 0.500) and Ta at (0.500, 0.500, 0.267).



YZr2Ta at its PBEsol-relaxed geometry, computed with meta-GGA SCAN.

The calculation puts the total magnetization at 0.0 μB/f.u. Its total energy is -2.84565 Ry per atom.

It has space group Amm2 (No. 38), with a = 4.969 Å, b = 3.098 Å, c = 11.673 Å, α = 90.00°, β = 90.00° and γ = 90.00°. The distinct sites, in fractional coordinates, are Y at (0.000, 0.000, 0.000), Zr at (0.000, 0.000, 0.259), Zr at (0.500, 0.000, 0.648) and Ta at (0.500, 0.000, 0.384).



YZr2Ta at its PBEsol-relaxed geometry, computed with meta-GGA SCAN.

The calculation puts the total magnetization at 0.0 μB/f.u. Its total energy is -2.84742 Ry per atom.

It has space group P4mm (No. 99), with a = 3.643 Å, b = 3.643 Å, c = 6.942 Å, α = 90.00°, β = 90.00° and γ = 90.00°. The distinct sites, in fractional coordinates, are Y at (0.000, 0.000, 0.000), Zr at (0.000, 0.000, 0.539), Zr at (0.500, 0.500, 0.309) and Ta at (0.500, 0.500, 0.719).



YZr2Ta at its PBEsol-relaxed geometry, computed with meta-GGA SCAN.

The calculation puts the total magnetization at 0.0 μB/f.u. Its total energy is -2.84381 Ry per atom.

It has space group P4mm (No. 99), with a = 3.037 Å, b = 3.037 Å, c = 9.761 Å, α = 90.00°, β = 90.00° and γ = 90.00°. The distinct sites, in fractional coordinates, are Y at (0.000, 0.000, 0.000), Zr at (0.000, 0.000, 0.535), Zr at (0.500, 0.500, 0.297) and Ta at (0.500, 0.500, 0.761).



YZrTa2 at its PBEsol-relaxed geometry, computed with meta-GGA SCAN.

The calculation puts the total magnetization at 0.0 μB/f.u. Its total energy is -3.49002 Ry per atom.

It has space group Immm (No. 71), with a = 3.394 Å, b = 4.826 Å, c = 10.007 Å, α = 90.00°, β = 90.00° and γ = 90.00°. The distinct sites, in fractional coordinates, are Y at (0.000, 0.000, 0.000), Zr at (0.000, 0.000, 0.500) and Ta at (0.000, 0.500, 0.244).



YZr2Ta at its PBEsol-relaxed geometry, computed with meta-GGA SCAN.

The calculation puts the total magnetization at 0.0 μB/f.u. Its total energy is -2.84446 Ry per atom.

It has space group P2/m (No. 10), with a = 3.066 Å, b = 4.788 Å, c = 6.235 Å, α = 90.00°, β = 102.97° and γ = 90.00°. The distinct sites, in fractional coordinates, are Y at (0.000, 0.000, 0.000), Zr at (0.296, 0.500, 0.719) and Ta at (0.500, 0.000, 0.500).



YZrTa2 at its PBEsol-relaxed geometry, computed with meta-GGA SCAN.

The calculation puts the total magnetization at 0.0 μB/f.u. Its total energy is -3.49137 Ry per atom.

It has space group C2/m (No. 12), with a = 5.924 Å, b = 10.033 Å, c = 2.900 Å, α = 90.00°, β = 108.48° and γ = 90.00°. The distinct sites, in fractional coordinates, are Y at (0.000, 0.000, 0.000), Zr at (0.000, 0.500, 0.000) and Ta at (0.250, 0.250, 0.500).